{"formula": "ErH3", "functional": "PBE-GGA", "state": "relaxed", "final_energy_ev_per_cell": -16.8, "e_above_lowest_polymorph_mev_per_atom": 67, "space_group": "Fm-3m (225)", "total_magnetization_mub_per_fu": 0.00, "lattice_angstrom": [[0.0000, 2.5209, 2.5209], [2.5209, 0.0000, 2.5209], [2.5209, 2.5209, 0.0000]], "species": ["Er", "H", "H", "H"], "frac_coords": [[0.0000, 0.0000, 0.0000], [0.2500, 0.2500, 0.2500], [0.5000, 0.5000, 0.5000], [0.7500, 0.7500, 0.7500]]}